No. 1
Density functional theory data (PBEsol) for an optimized crystal structure of SrMgAg4.

abc: 5.6110 5.6110 5.6110
angles: 60.00 60.00 60.00
Element x y z (fractional)
Sr1 0.0000 0.0000 0.0000
Mg1 0.7500 0.7500 0.7500
Ag1 0.8727 0.3758 0.3758
Ag2 0.3758 0.3758 0.3758
Ag3 0.3758 0.3758 0.8727
Ag4 0.3758 0.8727 0.3758

Computed properties:
Density of states at the Fermi level, states/eV/cell: 3.87
ΔE_f, eV per atom: -0.19


No. 2
Density functional theory data (PBEsol) for an optimized crystal structure of SrMgAg2.

abc: 3.5699 3.5699 7.1968
angles: 90.00 90.00 90.00
Element x y z (fractional)
Sr1 0.5000 0.5000 0.5000
Mg1 0.5000 0.5000 0.0000
Ag1 0.0000 0.0000 0.8021
Ag2 0.0000 0.0000 0.1979

Computed properties:
Density of states at the Fermi level, states/eV/cell: 1.69
ΔE_f, eV per atom: -0.19


No. 3
Density functional theory data (PBEsol) for an optimized crystal structure of MgTaAg.

abc: 4.3934 4.3934 4.3934
angles: 60.00 60.00 60.00
Element x y z (fractional)
Ag1 0.2500 0.2500 0.2500
Mg1 0.0000 0.0000 0.0000
Ta1 0.5000 0.5000 0.5000

Computed properties:
Density of states at the Fermi level, states/eV/cell: 0.25
Distance to the lowest polymorph of the same formula, eV/atom: 0.0000
ΔE_f, eV per atom: 0.74


No. 4
Density functional theory data (PBEsol) for an optimized crystal structure of MgTaAg.

abc: 4.4724 4.4724 4.4724
angles: 60.00 60.00 60.00
Element x y z (fractional)
Ag1 0.0000 0.0000 0.0000
Mg1 0.5000 0.5000 0.5000
Ta1 0.2500 0.2500 0.2500

Computed properties:
Density of states at the Fermi level, states/eV/cell: 0.73
Distance to the lowest polymorph of the same formula, eV/atom: 0.4516
ΔE_f, eV per atom: 1.19


What is the density of states at the Fermi level in the first record? 3.87 states/eV/cell